No. 1
First-principles (SCAN) data for a crystal of Na3LaZn relaxed with PBEsol, as listed in Alexandria.

The space group is Pm-3m (No. 221) and the conventional cell measures 5.434, 5.434 and 5.434 Å, with angles of 90.00, 90.00 and 90.00 degrees. The inequivalent atoms are Na at (0.000, 0.000, 0.500), La at (0.500, 0.500, 0.500) and Zn at (0.000, 0.000, 0.000).

The value obtained for the energy relative to the elements is 36.1 kJ/mol of atoms. Its magnetic moment is 1.08 μB per cell. For the mass density, the calculation gives 2.828 g/cm3.



No. 2
First-principles (SCAN) data for a crystal of Be2Au relaxed with PBEsol, as listed in Alexandria.

The space group is I4/mmm (No. 139) and the conventional cell measures 2.951, 2.951 and 7.647 Å, with angles of 90.00, 90.00 and 90.00 degrees. The inequivalent atoms are Be at (0.000, 0.000, 0.176) and Au at (0.000, 0.000, 0.500).

The value obtained for the energy relative to the elements is -25.9 kJ/mol of atoms. Its magnetic moment is 0.00 μB per cell. For the mass density, the calculation gives 10.724 g/cm3.